# 1
Density functional theory data (PBE with a Hubbard U) for an optimized crystal structure of Tl2VInF6.

Calculated values
* calculated volume: 189.62 Å³ per cell
* total energy: -0.1781 hartree per atom
* symmetry: No. 2
* total moment: 0.200 μB/atom

Structure (extended XYZ):
```
10
Lattice="-2.475 2.471 5.657 2.604 -1.930 5.688 3.327 3.898 3.468" Properties=species:S:1:pos:R:3 pbc="T T T"
Tl 1.158 1.537 7.433
Tl 2.591 3.107 3.566
V 0.213 0.372 3.765
In 1.939 2.593 11.172
F 0.244 2.065 4.831
F 0.496 1.425 2.104
F 2.181 0.234 3.983
F 3.256 3.216 8.895
F 1.572 4.404 7.016
F 3.509 2.576 6.166
```

***

# 2
Density functional theory data (PBE with a Hubbard U) for an optimized crystal structure of Tl3V2InF9.

Calculated values
* calculated volume: 265.25 Å³ per cell
* total energy: -0.1837 hartree per atom
* symmetry: No. 164
* total moment: 0.333 μB/atom

Structure (extended XYZ):
```
15
Lattice="6.129 0.000 0.000 -3.064 5.307 0.000 0.000 0.000 8.155" Properties=species:S:1:pos:R:3 pbc="T T T"
Tl 0.000 3.538 5.493
Tl 0.000 0.000 0.000
Tl 3.064 1.769 2.662
V 0.000 3.538 1.153
V 3.064 1.769 7.002
In 0.000 0.000 4.077
F 4.481 0.951 5.848
F 3.064 3.405 5.848
F 1.648 0.951 5.848
F 1.417 4.356 2.307
F 0.000 1.902 2.307
F -1.417 4.356 2.307
F 3.064 0.000 0.000
F -1.532 2.654 0.000
F 1.532 2.654 0.000
```